1.
A geometry-optimized BeHgRh2 structure, computed with PBE-GGA.

```
BeHgRh2
1.0
2.9260 0.0000 0.0000
0.0000 2.9260 0.0000
0.0000 0.0000 6.7607
Be Rh Hg
1 2 1
Direct
0.0000 0.0000 0.4433
0.0000 0.0000 0.0262
0.5000 0.5000 0.2992
0.5000 0.5000 0.7312
```

Values from the calculation:
space group: No. 99
DOS at the Fermi energy: 1.15 states/eV/atom
raw total energy: -18.76 eV/f.u.
energy relative to the lowest polymorph listed for this composition: 0.144 eV/atom

***

2.
A geometry-optimized ReHgBr2 structure, computed with PBE-GGA.

```
ReHgBr2
1.0
3.1732 0.0000 0.0000
0.0000 3.1732 0.0000
0.0000 0.0000 8.7413
Re Hg Br
1 1 2
Direct
0.5000 0.5000 0.7651
0.0000 0.0000 0.5378
0.0000 0.0000 0.9222
0.5000 0.5000 0.2749
```

Values from the calculation:
space group: No. 99
formation energy from raw total energies: 0.7153 eV/atom
DOS at the Fermi energy: 0.64 states/eV/atom
raw total energy: -13.23 eV/f.u.
energy relative to the lowest polymorph listed for this composition: 0.425 eV/atom

***

3.
A geometry-optimized BaCuBr2 structure, computed with PBE-GGA.

```
BaCuBr2
1.0
5.6364 0.0000 0.0000
0.0000 5.6364 0.0000
2.8182 2.8182 9.0125
Cu Ba Br
2 2 4
Direct
0.5000 0.5000 0.0000
0.2500 0.7500 0.5000
0.0000 0.0000 0.0000
0.7500 0.2500 0.5000
0.5657 0.1250 0.2500
0.1843 0.6250 0.2500
0.3750 0.4343 0.7500
0.8750 0.8157 0.7500
```

Values from the calculation:
space group: No. 122
formation energy from raw total energies: -0.8327 eV/atom
DOS at the Fermi energy: 0.11 states/eV/atom
raw total energy: -12.70 eV/f.u.
energy relative to the lowest polymorph listed for this composition: 0.169 eV/atom

***

4.
A geometry-optimized ZnHgRhF6 structure, computed with PBE-GGA.

```
ZnHgRhF6
1.0
-4.3270 3.2514 -0.8187
-0.1774 -5.2401 -1.5729
-4.0450 -2.8650 10.0007
Zn Hg Rh F
2 2 2 12
Direct
0.3333 0.6667 0.2500
0.6667 0.3333 0.7500
0.0000 0.0000 0.0000
0.0000 0.0000 0.5000
0.6667 0.3333 0.2500
0.3333 0.6667 0.7500
0.6384 0.6292 0.1524
0.9908 0.3616 0.1524
0.3616 0.9908 0.6524
0.0092 0.6384 0.8476
0.3708 0.3616 0.3476
0.9908 0.6292 0.3476
0.6292 0.9908 0.8476
0.6384 0.0092 0.3476
0.0092 0.3708 0.6524
0.3708 0.0092 0.1524
0.6292 0.6384 0.6524
0.3616 0.3708 0.8476
```

Values from the calculation:
space group: No. 163
formation energy from raw total energies: -1.6213 eV/atom
DOS at the Fermi energy: 0.49 states/eV/atom
raw total energy: -34.75 eV/f.u.

***

5.
A geometry-optimized In2Se structure, computed with PBE-GGA.

```
In2Se
1.0
2.1817 6.1327 0.7787
-2.1817 6.1327 0.7787
0.0000 6.3195 7.2335
In Se
4 2
Direct
0.4632 0.4632 0.8362
0.1627 0.1627 0.4358
0.8373 0.8373 0.5642
0.5368 0.5368 0.1638
0.7724 0.7724 0.1515
0.2276 0.2276 0.8485
```

Values from the calculation:
space group: No. 12
formation energy from raw total energies: -0.2913 eV/atom
DOS at the Fermi energy: 0.15 states/eV/atom
raw total energy: -9.84 eV/f.u.
energy relative to the lowest polymorph listed for this composition: 0.012 eV/atom

***

6.
A geometry-optimized BaLiZrAs2 structure, computed with PBE-GGA.

```
BaLiZrAs2
1.0
4.3008 0.0000 0.0000
0.0000 4.3008 0.0000
-2.1504 -2.1504 6.9024
Ba Li Zr As
1 1 1 2
Direct
0.0000 0.0000 0.0000
0.2500 0.7500 0.5000
0.7500 0.2500 0.5000
0.6369 0.6369 0.2738
0.3631 0.3631 0.7262
```

Values from the calculation:
space group: No. 119
DOS at the Fermi energy: 0.46 states/eV/atom
raw total energy: -26.40 eV/f.u.

***

7.
A geometry-optimized AcTlSe4 structure, computed with PBE-GGA.

```
AcTlSe4
1.0
6.0286 0.0000 0.0000
3.0143 5.2209 0.0000
3.0143 1.7403 4.9223
Ac Tl Se
1 1 4
Direct
0.2500 0.2500 0.2500
0.0000 0.0000 0.0000
0.6249 0.6249 0.1253
0.6249 0.1253 0.6249
0.6249 0.6249 0.6249
0.1253 0.6249 0.6249
```

Values from the calculation:
space group: No. 216
formation energy from raw total energies: -0.3668 eV/atom
DOS at the Fermi energy: 0.46 states/eV/atom
raw total energy: -22.61 eV/f.u.

***

8.
A geometry-optimized SrSi structure, computed with PBE-GGA.

```
SrSi
1.0
4.5629 0.0000 0.0000
2.2815 3.9516 0.0000
2.2815 1.3172 3.7256
Si Sr
1 1
Direct
0.0000 0.0000 0.0000
0.5000 0.5000 0.5000
```

Values from the calculation:
space group: No. 225
formation energy from raw total energies: 0.2399 eV/atom
DOS at the Fermi energy: 0.90 states/eV/atom
raw total energy: -6.62 eV/f.u.

***

9.
A geometry-optimized V2CrPd structure, computed with PBE-GGA.

```
V2CrPd
1.0
-0.7880 -2.2918 1.6623
1.0203 -1.8394 -2.0524
5.6035 0.0569 2.7346
Cr Pd V
1 1 2
Direct
0.5000 0.5000 0.0000
0.5000 0.5000 0.5000
0.0000 0.0000 0.7815
0.0000 0.0000 0.2185
```

Values from the calculation:
space group: No. 123
DOS at the Fermi energy: 1.03 states/eV/atom
raw total energy: -33.48 eV/f.u.

***

10.
A geometry-optimized La2ZrCr structure, computed with PBE-GGA.

```
La2ZrCr
1.0
5.7158 -0.5070 0.0000
2.0509 5.3592 0.0000
-3.8833 -2.4261 3.4585
Cr La Zr
1 2 1
Direct
0.7500 0.2500 0.5000
0.0000 0.0000 0.0000
0.5000 0.5000 0.0000
0.2500 0.7500 0.5000
```

Values from the calculation:
space group: No. 139
DOS at the Fermi energy: 1.11 states/eV/atom
raw total energy: -26.31 eV/f.u.
energy relative to the lowest polymorph listed for this composition: 0.143 eV/atom

***

11.
A geometry-optimized AcSiC structure, computed with PBE-GGA.

```
AcSiC
1.0
4.0735 0.0326 -0.6118
2.0405 3.5307 -0.6011
-1.4236 -0.8658 9.6007
Si Ac C
2 2 2
Direct
0.0398 0.5084 0.2487
0.3364 0.8051 0.1668
0.4864 0.9559 0.5081
0.5657 0.0337 0.9283
0.9034 0.3748 0.6785
0.8061 0.2747 0.7693
```

Values from the calculation:
space group: No. 1
formation energy from raw total energies: -0.1455 eV/atom
DOS at the Fermi energy: 0.45 states/eV/atom
raw total energy: -19.19 eV/f.u.

***

12.
A geometry-optimized Pm2ErSb structure, computed with PBE-GGA.

```
Pm2ErSb
1.0
-1.8098 -3.3907 1.7494
3.3320 -0.4614 2.5528
-2.9741 3.9595 4.5974
Sb Pm Er
1 2 1
Direct
0.5000 0.5000 0.5000
0.0000 0.0000 0.7334
0.0000 0.0000 0.2666
0.5000 0.5000 0.0000
```

Values from the calculation:
space group: No. 123
formation energy from raw total energies: -0.5083 eV/atom
DOS at the Fermi energy: 1.04 states/eV/atom
raw total energy: -20.22 eV/f.u.
energy relative to the lowest polymorph listed for this composition: 0.000 eV/atom